No. 1
Below is LaCeHgPb after structural relaxation, with properties calculated at the PBE-GGA level.

Cell lengths 5.559, 5.559, 5.559 Å; angles 60.00, 60.00, 60.00 degrees
Fractional coordinates of all 4 atoms:
Pb 0.250 0.250 0.250
Hg 0.750 0.750 0.750
Ce 0.500 0.500 0.500
La 0.000 0.000 0.000

Values from the calculation:
Formation enthalpy at 0 K = -432 meV per atom
Calculated density = 9.387 Mg/m³


No. 2
Below is Ac3SmH after structural relaxation, with properties calculated at the PBE-GGA level.

Cell lengths 5.516, 5.516, 5.516 Å; angles 90.00, 90.00, 90.00 degrees
Fractional coordinates of all 5 atoms:
H 0.000 0.000 0.000
Ac 0.000 0.500 0.000
Ac 0.000 0.000 0.500
Ac 0.500 0.000 0.000
Sm 0.500 0.500 0.500

Values from the calculation:
Raw total energy = -4.20 eV per atom
Calculated density = 8.233 Mg/m³


No. 3
Below is BaNaGe2Mo after structural relaxation, with properties calculated at the PBE-GGA level.

Cell lengths 5.246, 5.217, 5.246 Å; angles 90.00, 90.00, 90.00 degrees
Fractional coordinates of all 5 atoms:
Na 0.000 0.000 0.000
Mo 0.000 0.500 0.000
Ge 0.000 0.000 0.500
Ge 0.500 0.000 0.000
Ba 0.500 0.500 0.500

Values from the calculation:
Formation enthalpy at 0 K = 980 meV per atom
Calculated density = 4.644 Mg/m³


No. 4
Below is NpTl2Pd2Se4 after structural relaxation, with properties calculated at the PBE-GGA level.

Cell lengths 4.154, 7.755, 7.939 Å; angles 108.32, 90.00, 105.54 degrees
Fractional coordinates of all 9 atoms:
Np 0.000 0.000 0.000
Tl 0.863 0.726 0.404
Tl 0.137 0.274 0.596
Pd 0.315 0.629 0.997
Pd 0.685 0.371 0.003
Se 0.807 0.614 0.813
Se 0.193 0.386 0.187
Se 0.485 0.971 0.231
Se 0.515 0.029 0.769

Values from the calculation:
Energy relative to the elements, uncorrected = -0.60 eV/atom
Calculated density = 8.373 Mg/m³


No. 5
Below is HfW2S after structural relaxation, with properties calculated at the PBE-GGA level.

Cell lengths 3.689, 3.689, 10.810 Å; angles 80.18, 80.18, 90.00 degrees
Fractional coordinates of all 8 atoms:
S 0.500 0.500 0.000
S 0.250 0.750 0.500
Hf 0.000 0.000 0.000
Hf 0.750 0.250 0.500
W 0.627 0.125 0.250
W 0.123 0.625 0.250
W 0.375 0.373 0.750
W 0.875 0.877 0.750

Values from the calculation:
Energy relative to the elements, uncorrected = 0.32 eV/atom
Calculated density = 13.452 Mg/m³


No. 6
Below is MgCoB after structural relaxation, with properties calculated at the PBE-GGA level.

Cell lengths 3.523, 3.523, 5.643 Å; angles 90.00, 90.00, 90.00 degrees
Fractional coordinates of all 6 atoms:
Mg 0.500 0.000 0.155
Mg 0.000 0.500 0.845
Co 0.500 0.500 0.500
Co 0.000 0.000 0.500
B 0.500 0.000 0.679
B 0.000 0.500 0.321

Values from the calculation:
Formation enthalpy at 0 K = -220 meV per atom
Calculated density = 4.459 Mg/m³